(1)
Below is an optimized crystal structure of CrIn2AsO, with properties calculated at the PBE with a Hubbard U level.

a = 4.774 Å, b = 4.774 Å, c = 4.464 Å
α = 90.00°, β = 90.00°, γ = 90.00°
Fractional positions:
O 0.000 0.000 0.000
In 0.500 0.000 0.000
Cr 0.500 0.500 0.500
In 0.000 0.500 0.000
As 0.000 0.000 0.500

Calculated values
- E_tot: -0.329 Ry per atom
- D(E_F): 1.90 states/eV/f.u.
- Calculated volume: 101.7 Å³/cell



(2)
Below is an optimized crystal structure of CrInAsO5, with properties calculated at the PBE with a Hubbard U level.

a = 5.616 Å, b = 5.616 Å, c = 7.561 Å
α = 101.81°, β = 101.81°, γ = 109.03°
Fractional positions:
O 0.584 0.722 0.928
O 0.722 0.584 0.428
O 0.354 0.952 0.662
In 0.000 0.000 0.000
As 0.318 0.682 0.750
Cr 0.686 0.314 0.750
O 0.901 0.099 0.750
O 0.416 0.278 0.072
O 0.278 0.416 0.572
O 0.048 0.646 0.838
O 0.099 0.901 0.250
In 0.000 0.000 0.500
O 0.646 0.048 0.338
As 0.682 0.318 0.250
O 0.952 0.354 0.162
Cr 0.314 0.686 0.250

Calculated values
- E_tot: -0.468 Ry per atom
- Calculated volume: 211.0 Å³/cell



no.,magnetic moment (Bohr magnetons per cell)
1,4.48
2,8.00